K4U3PbO12: relaxed, PBE.

```
K4U3PbO12
1.0
7.619 0.000 0.000
-2.540 7.183 0.000
-2.540 -3.592 6.221
O K Pb U
12 4 1 3
Cartesian
-1.417 1.002 1.735
1.417 -1.002 1.735
-1.270 0.898 4.666
3.809 0.000 3.110
-1.270 3.592 3.110
-3.663 2.590 4.486
1.270 -0.898 4.666
1.417 2.004 0.000
3.663 5.180 0.000
3.809 2.694 1.555
1.270 4.489 1.555
3.663 -2.590 4.486
-1.270 3.592 0.000
1.270 1.796 3.110
-1.270 -1.796 3.110
3.809 0.000 0.000
0.000 0.000 0.000
2.540 3.592 0.000
-2.540 1.796 3.110
2.540 -1.796 3.110
```

Formation energy without anion corrections   -2634 meV per atom
Electronic total energy   -7.707 eV/atom
Space-group type   Im-3m
Calculated density   6.2 g/cm³
Total magnetic moment   0.0 Bohr magnetons per cell